Below is TbNd2P3Rh4 after structural relaxation, with properties calculated at the PBE-GGA level.

a b c (Å): 4.0415 4.0415 11.2433
angles (deg): 90.00 90.00 90.00
With the nearest neighbours (Å) after each atom.
Element x y z (fractional)
Rh1 0.0000 0.0000 0.0000  4 P 2.45
Rh2 0.0000 0.5000 0.3308  1 P 2.33
Rh3 0.5000 0.5000 0.0000  4 P 2.45
Rh4 0.5000 0.0000 0.6692  1 P 2.33
P1 0.5000 0.0000 0.8767  5 Rh 2.33-2.45
P2 0.0000 0.0000 0.5000  4 Rh 2.78, 4 Tb 2.86
P3 0.0000 0.5000 0.1233  5 Rh 2.33-2.45
Nd1 0.5000 0.0000 0.2234  4 P 3.07, 8 Rh 3.10-3.22
Nd2 0.0000 0.5000 0.7766  4 P 3.07, 8 Rh 3.10-3.22
Tb1 0.5000 0.5000 0.5000  4 Rh 2.78, 4 P 2.86

Results
Total magnetization in μB per formula unit: 0.00
Fermi-level density of states in states/eV per cell: 5.59
VASP energy in eV/atom: -7.038

Below is SmEuAlCd after structural relaxation, with properties calculated at the PBE-GGA level.

a b c (Å): 5.3822 5.3822 5.3822
angles (deg): 60.00 60.00 60.00
With the nearest neighbours (Å) after each atom.
Element x y z (fractional)
Sm1 0.0000 0.0000 0.0000  4 Cd 3.30, 4 Al 3.30
Eu1 0.5000 0.5000 0.5000  4 Cd 3.30, 4 Al 3.30
Cd1 0.7500 0.7500 0.7500  4 Eu 3.30, 4 Sm 3.30
Al1 0.2500 0.2500 0.2500  4 Sm 3.30, 4 Eu 3.30

Results
Total magnetization in μB per formula unit: 7.46
Fermi-level density of states in states/eV per cell: 7.07
VASP energy in eV/atom: -5.207

Below is NdP2Pd6 after structural relaxation, with properties calculated at the PBE-GGA level.

a b c (Å): 5.7512 5.7512 6.0690
angles (deg): 90.00 90.00 120.00
With the nearest neighbours (Å) after each atom.
Element x y z (fractional)
Pd1 0.4998 0.4998 0.2306  2 P 2.33
Pd2 0.0000 0.5002 0.2306  2 P 2.33
Pd3 0.5002 0.5002 0.7694  2 P 2.33
Pd4 0.0000 0.4998 0.7694  2 P 2.33
Pd5 0.4998 0.0000 0.7694  2 P 2.33
Pd6 0.5002 0.0000 0.2306  2 P 2.33
Nd1 0.0000 0.0000 0.0000  12 Pd 3.20
P1 0.3333 0.6667 0.5000  6 Pd 2.33
P2 0.6667 0.3333 0.5000  6 Pd 2.33

Results
Total magnetization in μB per formula unit: 0.00
Fermi-level density of states in states/eV per cell: 2.60
VASP energy in eV/atom: -5.719

Below is SmPb after structural relaxation, with properties calculated at the PBE-GGA level.

a b c (Å): 4.5567 4.5567 12.3025
angles (deg): 100.67 100.67 90.00
With the nearest neighbours (Å) after each atom.
Element x y z (fractional)
Sm1 0.0594 0.5594 0.1188  7 Pb 3.22-3.55
Sm2 0.4406 0.9406 0.8812  7 Pb 3.22-3.55
Sm3 0.6906 0.6906 0.3812  7 Pb 3.22-3.55
Sm4 0.3094 0.3094 0.6188  7 Pb 3.22-3.55
Pb1 0.9239 0.4239 0.8478  7 Sm 3.22-3.55, 2 Pb 3.25
Pb2 0.1739 0.1739 0.3478  7 Sm 3.22-3.55, 2 Pb 3.25
Pb3 0.8261 0.8261 0.6522  7 Sm 3.22-3.55, 2 Pb 3.25
Pb4 0.5761 0.0761 0.1522  7 Sm 3.22-3.55, 2 Pb 3.25

Results
Total magnetization in μB per formula unit: 0.00
Fermi-level density of states in states/eV per cell: 6.81
VASP energy in eV/atom: -4.750

Below is NaInSe2 after structural relaxation, with properties calculated at the PBE-GGA level.

a b c (Å): 7.0881 4.1490 8.3308
angles (deg): 104.40 90.00 89.99
With the nearest neighbours (Å) after each atom.
Element x y z (fractional)
Na1 0.7029 0.7986 0.9050  5 Se 2.88-3.17
Na2 0.2029 0.1684 0.6408  5 Se 2.88-3.18
Se1 0.7884 0.1549 0.6169  2 In 2.66, 1 Na 2.94
Se2 0.2884 0.8124 0.9291  2 In 2.66, 1 Na 2.94
Se3 0.8248 0.4105 0.1291  2 In 2.58-2.62, 2 Na 2.88
Se4 0.3249 0.5563 0.4170  2 In 2.58-2.62, 2 Na 2.88
In1 0.6937 0.5603 0.4274  4 Se 2.58-2.66
In2 0.1937 0.4074 0.1187  4 Se 2.58-2.66

Results
Total magnetization in μB per formula unit: 0.00
Fermi-level density of states in states/eV per cell: 0.00
VASP energy in eV/atom: -3.565
Energy relative to the elements, uncorrected in eV/atom: -0.809

Below is InCuI4 after structural relaxation, with properties calculated at the PBE-GGA level.

a b c (Å): 8.0538 8.0538 10.1224
angles (deg): 90.00 90.00 90.00
With the nearest neighbours (Å) after each atom.
Element x y z (fractional)
Cu1 0.0000 0.0000 0.5000  4 I 2.72
Cu2 0.0000 0.0000 0.0000  4 I 2.72
I1 0.2398 0.7625 0.0000  1 Cu 2.72, 1 In 2.86
I2 0.2375 0.7602 0.5000  1 Cu 2.72, 1 In 2.86
I3 0.7602 0.2375 0.0000  1 Cu 2.72, 1 In 2.86
I4 0.7625 0.2398 0.5000  1 Cu 2.72, 1 In 2.86
I5 0.7602 0.7625 0.0000  1 Cu 2.72, 1 In 2.86
I6 0.2398 0.2375 0.0000  1 Cu 2.72, 1 In 2.86
I7 0.7625 0.7602 0.5000  1 Cu 2.72, 1 In 2.86
I8 0.2375 0.2398 0.5000  1 Cu 2.72, 1 In 2.86
In1 0.5000 0.0000 0.5000  4 I 2.86
In2 0.0000 0.5000 0.0000  4 I 2.86

Results
Total magnetization in μB per formula unit: 0.00
Fermi-level density of states in states/eV per cell: 7.27
VASP energy in eV/atom: -2.356
Energy relative to the elements, uncorrected in eV/atom: -0.183

Below is Pm2HoPb2O2 after structural relaxation, with properties calculated at the PBE-GGA level.

a b c (Å): 4.4044 4.4044 8.7415
angles (deg): 104.59 104.59 90.00
With the nearest neighbours (Å) after each atom.
Element x y z (fractional)
Pb1 0.2032 0.2032 0.4065  5 Pm 3.15-3.51, 1 Ho 3.32, 4 Pb 3.47
Pb2 0.7968 0.7968 0.5935  5 Pm 3.15-3.51, 1 Ho 3.32, 4 Pb 3.47
Ho1 0.0000 0.0000 0.0000  4 O 2.20
Pm1 0.6039 0.6039 0.2078  4 O 2.78
Pm2 0.3961 0.3961 0.7922  4 O 2.78
O1 0.5000 0.0000 0.0000  2 Ho 2.20
O2 0.0000 0.5000 0.0000  2 Ho 2.20

Results
Total magnetization in μB per formula unit: 0.00
Fermi-level density of states in states/eV per cell: 5.50
VASP energy in eV/atom: -6.139
Energy relative to the elements, uncorrected in eV/atom: -1.652

Below is LaHf2BiIr after structural relaxation, with properties calculated at the PBE-GGA level.

a b c (Å): 5.0542 5.7014 5.0542
angles (deg): 90.00 90.00 90.00
With the nearest neighbours (Å) after each atom.
Element x y z (fractional)
La1 0.0000 0.5000 0.0000  2 Ir 2.85
Ir1 0.0000 0.0000 0.0000  4 Hf 2.53
Bi1 0.5000 0.5000 0.5000  4 La 3.57, 8 Hf 3.81
Hf1 0.0000 0.0000 0.5000  2 Ir 2.53
Hf2 0.5000 0.0000 0.0000  2 Ir 2.53

Results
Total magnetization in μB per formula unit: 0.00
Fermi-level density of states in states/eV per cell: 3.90
VASP energy in eV/atom: -7.715

Below is Nd3Y6Tl after structural relaxation, with properties calculated at the PBE-GGA level.

a b c (Å): 3.5909 11.5458 15.6981
angles (deg): 88.07 90.00 90.00
With the nearest neighbours (Å) after each atom.
Element x y z (fractional)
Y1 0.2500 0.8708 0.9699  3 Nd 3.29-3.47, 2 Tl 3.34, 5 Y 3.53-3.64
Y2 0.2500 0.6084 0.8610  3 Tl 3.24-3.48, 3 Y 3.53-3.59
Y3 0.7500 0.1292 0.0301  3 Nd 3.29-3.47, 2 Tl 3.34, 5 Y 3.53-3.64
Y4 0.7500 0.1454 0.4465  5 Nd 3.43-3.63, 6 Y 3.59-3.81
Y5 0.2500 0.3875 0.5597  4 Nd 3.32-3.59, 4 Y 3.59-3.63
Y6 0.7500 0.8660 0.7599  3 Nd 3.34-3.56, 4 Y 3.59-3.71
Y7 0.2500 0.6437 0.2313  2 Tl 3.40, 3 Nd 3.41-3.58, 6 Y 3.59-3.75
Y8 0.7500 0.3916 0.1390  3 Tl 3.24-3.48, 3 Y 3.53-3.59
Y9 0.7500 0.6125 0.4403  4 Nd 3.32-3.59, 4 Y 3.59-3.63
Y10 0.7500 0.3563 0.7687  2 Tl 3.40, 3 Nd 3.41-3.58, 6 Y 3.59-3.75
Y11 0.2500 0.1340 0.2401  3 Nd 3.34-3.56, 4 Y 3.59-3.71
Y12 0.2500 0.8546 0.5535  5 Nd 3.43-3.63, 6 Y 3.59-3.81
Tl1 0.7500 0.6472 0.0476  7 Y 3.24-3.48, 1 Nd 3.40, 2 Tl 3.59
Tl2 0.2500 0.3528 0.9524  7 Y 3.24-3.48, 1 Nd 3.40, 2 Tl 3.59
Nd1 0.7500 0.8964 0.1573  1 Nd 3.10, 3 Y 3.29-3.47, 1 Tl 3.40
Nd2 0.2500 0.1203 0.6451  1 Nd 3.10, 2 Y 3.32-3.43
Nd3 0.7500 0.6164 0.6587  9 Y 3.34-3.65, 2 Nd 3.59
Nd4 0.2500 0.3836 0.3413  9 Y 3.34-3.65, 2 Nd 3.59
Nd5 0.7500 0.8797 0.3549  1 Nd 3.10, 2 Y 3.32-3.43
Nd6 0.2500 0.1036 0.8427  1 Nd 3.10, 3 Y 3.29-3.47, 1 Tl 3.40

Results
Total magnetization in μB per formula unit: 0.00
Fermi-level density of states in states/eV per cell: 32.64
VASP energy in eV/atom: -5.557

Below is AsPRh2 after structural relaxation, with properties calculated at the PBE-GGA level.

a b c (Å): 3.4385 2.9999 6.1856
angles (deg): 76.38 90.00 90.00
With the nearest neighbours (Å) after each atom.
Element x y z (fractional)
As1 0.5000 0.2500 0.2500  8 Rh 2.87-2.88, 2 As 3.00, 2 P 3.10
Rh1 0.0000 0.6048 0.5402  2 P 2.26
Rh2 0.0000 0.8952 0.9598  2 P 2.26
P1 0.5000 0.7500 0.7500  4 Rh 2.26

Results
Total magnetization in μB per formula unit: 0.00
Fermi-level density of states in states/eV per cell: 2.53
VASP energy in eV/atom: -6.354

Below is KMnTe2 after structural relaxation, with properties calculated at the PBE-GGA level.

a b c (Å): 5.0958 5.0958 8.9375
angles (deg): 90.00 90.00 133.45
With the nearest neighbours (Å) after each atom.
Element x y z (fractional)
Te1 0.0000 0.0000 0.9453  2 Mn 2.66
Te2 0.0000 0.0000 0.5547  2 Mn 2.66
K1 0.5000 0.5000 0.2500  4 Te 3.39
Mn1 0.5000 0.5000 0.7500  4 Te 2.66

Results
Total magnetization in μB per formula unit: 3.99
Fermi-level density of states in states/eV per cell: 0.15
VASP energy in eV/atom: -4.456
Energy relative to the elements, uncorrected in eV/atom: -0.318

Below is Cs2KI3 after structural relaxation, with properties calculated at the PBE-GGA level.

a b c (Å): 5.3505 7.6676 9.3620
angles (deg): 114.17 106.60 90.00
With the nearest neighbours (Å) after each atom.
Element x y z (fractional)
Cs1 0.8297 0.8297 0.1595  6 I 3.85-3.93
Cs2 0.1703 0.1703 0.8405  6 I 3.85-3.93
I1 0.8479 0.3479 0.1958  2 K 3.64, 4 Cs 3.85-3.93
I2 0.1521 0.6521 0.8042  2 K 3.64, 4 Cs 3.85-3.93
I3 0.5000 0.0000 0.5000  2 K 3.83, 4 Cs 3.85
K1 0.5000 0.5000 0.5000  6 I 3.64-3.83

Results
Total magnetization in μB per formula unit: 0.00
Fermi-level density of states in states/eV per cell: 0.00
VASP energy in eV/atom: -2.760
Energy relative to the elements, uncorrected in eV/atom: -1.518